First-principles (PBE-GGA) data for an optimized crystal structure of Re2TcIr, as listed in Alexandria.

Summary:
* magnetic moment: 0.00 μB/atom
* excess energy over the best structure of this formula in the dataset: 0.454 eV/atom
* ΔE_f: 0.36 eV per atom
* VASP energy: -10.67 eV/atom

Cell lengths 4.596, 4.596, 4.596 Å; angles 56.26, 56.26, 56.26 degrees
Fractional positions:
Re: 0.000 0.000 0.000
Re: 0.226 0.226 0.226
Tc: 0.460 0.460 0.460
Ir: 0.683 0.683 0.683